A plane-wave DFT calculation with PBE was carried out for BaNaSr2Cd after structural relaxation.

a = 6.4876 Å, b = 6.4876 Å, c = 6.0014 Å
α = 90.00°, β = 90.00°, γ = 90.00°
With the nearest neighbours (Å) after each atom.
Element x y z (fractional)
Ba 0.0000 0.0000 0.0000  8 Sr 4.42, 4 Na 4.59
Na 0.5000 0.5000 0.0000  2 Cd 3.00
Sr 0.0000 0.5000 0.5000  2 Cd 3.24
Sr 0.5000 0.0000 0.5000  2 Cd 3.24
Cd 0.5000 0.5000 0.5000  2 Na 3.00, 4 Sr 3.24

## Properties
Theoretical density = 2.94 g/cm³
E = -1.488 eV/atom
DOS(E_F) = 5.256 states/eV/cell
Distance to the lowest polymorph of the same formula = 0.0190 eV per atom
Energy relative to the elements = 0.016 eV per atom